# 1
The following is a DFT calculation (PBE-GGA) of CaHg2I2 after structural relaxation.

The structure in POSCAR format:
```
CaHg2I2
1.0
8.1830 0.0000 0.0000
0.0000 8.1830 0.0000
0.0000 0.0000 6.9927
Ca Hg I
2 4 4
direct
0.0000 0.0000 0.0000
0.5000 0.5000 0.0000
0.1457 0.3543 0.5000
0.3543 0.8543 0.5000
0.6457 0.1457 0.5000
0.8543 0.6457 0.5000
0.1731 0.6731 0.0000
0.3269 0.1731 0.0000
0.6731 0.8269 0.0000
0.8269 0.3269 0.0000
```

Computed properties:
Total magnetic moment: 0.0 Bohr magnetons per cell
Density of states at the Fermi level: 0.00 states/eV/atom
Energy relative to the elements, uncorrected: -0.746 eV/atom
Distance to the lowest polymorph of the same formula: 0.018 eV per atom

---

# 2
The following is a DFT calculation (PBE-GGA) of CaHg2I after structural relaxation.

The structure in POSCAR format:
```
CaHg2I
1.0
-4.6167 4.6167 3.1392
4.6167 -4.6167 3.1392
4.6167 4.6167 -3.1392
Ca Hg I
2 4 2
direct
0.0000 0.0000 0.0000
0.7500 0.2500 0.5000
0.1001 0.1250 0.4751
0.3750 0.8999 0.0249
0.6499 0.6250 0.5249
0.8750 0.3501 0.9751
0.2500 0.7500 0.5000
0.5000 0.5000 0.0000
```

Computed properties:
Total magnetic moment: 0.0 Bohr magnetons per cell
Density of states at the Fermi level: 0.49 states/eV/atom
Energy relative to the elements, uncorrected: -0.529 eV/atom
Distance to the lowest polymorph of the same formula: 0.000 eV per atom

---

# 3
The following is a DFT calculation (PBE-GGA) of Ca4Hg2I after structural relaxation.

The structure in POSCAR format:
```
Ca4Hg2I
1.0
-2.9470 2.9470 7.6863
2.9470 -2.9470 7.6863
2.9470 2.9470 -7.6863
Ca Hg I
4 2 1
direct
0.0000 0.5000 0.5000
0.2120 0.2120 0.0000
0.5000 0.0000 0.5000
0.7880 0.7880 0.0000
0.4040 0.4040 0.0000
0.5960 0.5960 0.0000
0.0000 0.0000 0.0000
```

Computed properties:
Total magnetic moment: 0.0 Bohr magnetons per cell
Density of states at the Fermi level: 1.20 states/eV/atom
Energy relative to the elements, uncorrected: -0.300 eV/atom

---

# 4
The following is a DFT calculation (PBE-GGA) of CaHg2I6 after structural relaxation.

The structure in POSCAR format:
```
CaHg2I6
1.0
7.3850 -6.7831 0.0000
7.3850 6.7831 0.0000
-1.4624 0.0000 7.8728
Ca Hg I
2 4 12
direct
0.0987 0.9013 0.7500
0.9013 0.0987 0.2500
0.2386 0.4054 0.6813
0.4054 0.2386 0.1813
0.5946 0.7614 0.8187
0.7614 0.5946 0.3187
0.0367 0.1949 0.6231
0.1243 0.6228 0.8873
0.1949 0.0367 0.1231
0.2810 0.4714 0.3602
0.3772 0.8757 0.6127
0.4714 0.2810 0.8602
0.5286 0.7190 0.1398
0.6228 0.1243 0.3873
0.7190 0.5286 0.6398
0.8051 0.9633 0.8769
0.8757 0.3772 0.1127
0.9633 0.8051 0.3769
```

Computed properties:
Total magnetic moment: 0.0 Bohr magnetons per cell
Energy relative to the elements, uncorrected: -0.705 eV/atom
Distance to the lowest polymorph of the same formula: 0.000 eV per atom

---

# 5
The following is a DFT calculation (PBE-GGA) of CaHg2I2 after structural relaxation.

The structure in POSCAR format:
```
CaHg2I2
1.0
-2.0643 2.0643 10.8426
2.0643 -2.0643 10.8426
2.0643 2.0643 -10.8426
Ca Hg I
1 2 2
direct
0.0000 0.0000 0.0000
0.2500 0.7500 0.5000
0.7500 0.2500 0.5000
0.4152 0.4152 0.0000
0.5848 0.5848 0.0000
```

Computed properties:
Total magnetic moment: 0.0 Bohr magnetons per cell
Density of states at the Fermi level: 0.32 states/eV/atom
Energy relative to the elements, uncorrected: -0.763 eV/atom
Distance to the lowest polymorph of the same formula: 0.000 eV per atom

---

# 6
The following is a DFT calculation (PBE-GGA) of CaHgI after structural relaxation.

The structure in POSCAR format:
```
CaHgI
1.0
-1.9687 1.9687 6.7881
1.9687 -1.9687 6.7881
1.9687 1.9687 -6.7881
Ca Hg I
1 1 1
direct
0.0000 0.0000 0.0000
0.6304 0.6304 0.0000
0.3698 0.3698 0.0000
```

Computed properties:
Total magnetic moment: 0.0 Bohr magnetons per cell
Density of states at the Fermi level: 0.45 states/eV/atom
Energy relative to the elements, uncorrected: -0.768 eV/atom
Distance to the lowest polymorph of the same formula: 0.165 eV per atom

---

# 7
The following is a DFT calculation (PBE-GGA) of CaHgI4 after structural relaxation.

The structure in POSCAR format:
```
CaHgI4
1.0
7.6208 0.0000 0.0000
0.0000 4.4212 0.0000
-0.6383 0.0000 7.7005
Ca Hg I
1 1 4
direct
0.0000 0.0000 0.0000
0.0000 0.5000 0.5000
0.2300 0.0000 0.6746
0.2381 0.5000 0.1861
0.7619 0.5000 0.8139
0.7700 0.0000 0.3254
```

Computed properties:
Total magnetic moment: 0.0 Bohr magnetons per cell
Energy relative to the elements, uncorrected: -0.907 eV/atom
Distance to the lowest polymorph of the same formula: 0.003 eV per atom

---

# 8
The following is a DFT calculation (PBE-GGA) of CaHgI3 after structural relaxation.

The structure in POSCAR format:
```
CaHgI3
1.0
5.9409 0.0000 0.0000
0.0000 5.9409 0.0000
0.0000 0.0000 5.9409
Ca Hg I
1 1 3
direct
0.0000 0.0000 0.0000
0.5000 0.5000 0.5000
0.0000 0.5000 0.5000
0.5000 0.0000 0.5000
0.5000 0.5000 0.0000
```

Computed properties:
Total magnetic moment: 0.0 Bohr magnetons per cell
Density of states at the Fermi level: 0.39 states/eV/atom
Energy relative to the elements, uncorrected: -0.423 eV/atom
Distance to the lowest polymorph of the same formula: 0.316 eV per atom